A plane-wave DFT calculation with meta-GGA SCAN was carried out for H2SeF at its PBEsol-relaxed geometry.

Lattice parameters (Å, degrees): 3.867 3.867 6.069 108.58 108.58 90.00
Atoms (fractional coordinates):
H: 0.016 0.375 0.250
H: 0.234 0.875 0.250
H: 0.625 0.766 0.750
H: 0.125 0.984 0.750
Se: 0.250 0.750 0.500
Se: 0.000 0.000 0.000
F: 0.750 0.250 0.500
F: 0.500 0.500 0.000

## Properties
SG: No. 122
total DFT energy (no corrections): -7.6116 eV per atom
D(E_F): 1.74 states/eV/f.u.